DFT (PBE-GGA) results for a relaxed PrY7Sc3 crystal.

a b c (Å): 5.741 10.633 11.285
angles (deg): 90.00 90.00 90.00
Space group Immm (No. 71)
Asymmetric unit:
Pr: 0.000 0.000 0.000 x2
Y: 0.000 0.193 0.298 x8
Y: 0.000 0.308 0.000 x4
Y: 0.000 0.500 0.500 x2
Sc: 0.000 0.000 0.500 x2
Sc: 0.000 0.500 0.211 x4

Results
Calculated volume = 688.9 Å³/cell
Uncorrected energy = -132.365 eV/cell
ΔH_f (0 K) = 258 meV per atom
Spin magnetization = 0.2 μB/f.u.


DFT (PBE-GGA) results for a relaxed La4YZn5 crystal.

a b c (Å): 3.723 3.723 18.644
angles (deg): 90.00 90.00 90.00
Space group P4/mmm (No. 123)
Asymmetric unit:
La: 0.000 0.000 0.102 x2
La: 0.000 0.000 0.306 x2
Y: 0.000 0.000 0.500 x1
Zn: 0.500 0.500 0.000 x1
Zn: 0.500 0.500 0.203 x2
Zn: 0.500 0.500 0.412 x2

Results
Calculated volume = 258.5 Å³/cell
Uncorrected energy = -35.694 eV/cell
ΔH_f (0 K) = -315 meV per atom
Spin magnetization = 0.0 μB/f.u.


DFT (PBE-GGA) results for a relaxed ThBiTe crystal.

a b c (Å): 4.539 4.539 18.352
angles (deg): 90.00 90.00 90.00
Space group I4/mmm (No. 139)
Asymmetric unit:
Th: 0.000 0.000 0.137 x4
Bi: 0.000 0.500 0.000 x4
Te: 0.000 0.000 0.315 x4

Results
Calculated volume = 378.1 Å³/cell
Uncorrected energy = -68.307 eV/cell
ΔE_f (raw) = -0.878 eV per atom
Spin magnetization = 0.0 μB/f.u.
Offset from the most stable computed form = 22 meV per atom


DFT (PBE-GGA) results for a relaxed Li12Mg7Ga crystal.

a b c (Å): 10.8280 10.8280 11.9216
angles (deg): 90.00 90.00 120.00
Space group R-3 (No. 148, hexagonal axes)
Asymmetric unit:
Li: 0.0445 0.5903 0.2071 x18
Li: 0.0572 0.4626 0.5865 x18
Mg: 0.0000 0.0000 0.0000 x3
Mg: 0.0479 0.8642 0.3025 x18
Ga: 0.0000 0.0000 0.5000 x3

Results
Calculated volume = 1210.5 Å³/cell
Uncorrected energy = -112.871 eV/cell
ΔH_f (0 K) = -23 meV per atom
Spin magnetization = 0.0 μB/f.u.
Offset from the most stable computed form = 0 meV per atom


DFT (PBE-GGA) results for a relaxed Ba2Zn3Pd crystal.

a b c (Å): 4.792 5.594 12.485
angles (deg): 90.00 90.00 90.00
Space group Immm (No. 71)
Asymmetric unit:
Ba: 0.000 0.000 0.206 x4
Zn: 0.000 0.500 0.097 x4
Zn: 0.000 0.500 0.500 x2
Pd: 0.000 0.000 0.500 x2

Results
Calculated volume = 334.7 Å³/cell
Uncorrected energy = -27.352 eV/cell
ΔH_f (0 K) = -136 meV per atom
Spin magnetization = 0.0 μB/f.u.
Offset from the most stable computed form = 210 meV per atom


DFT (PBE-GGA) results for a relaxed Pr3Nd2Er4 crystal.

a b c (Å): 16.516 11.845 6.185
angles (deg): 90.00 97.61 90.00
Space group C2/c (No. 15)
Asymmetric unit:
Pr: 0.000 0.129 0.250 x4
Pr: 0.162 0.357 0.093 x8
Nd: 0.113 0.130 0.788 x8
Er: 0.057 0.385 0.540 x8
Er: 0.231 0.117 0.361 x8

Results
Calculated volume = 1199.2 Å³/cell
Uncorrected energy = -165.113 eV/cell
ΔH_f (0 K) = 94 meV per atom
Spin magnetization = 0.0 μB/f.u.
Offset from the most stable computed form = 75 meV per atom


What is the spin magnetization in the fourth record? 0.0 μB/f.u.


What is the formula in the sixth record? Pr3Nd2Er4


Number 2 is which compound? La4YZn5